A plane-wave DFT calculation with PBE-GGA was carried out for a relaxed TmMgV crystal.

## Properties
Theoretical density: 5.76 g cm⁻³
DFT formation energy: 0.150 eV/atom
Calculated total energy: -58.94 eV/cell

Geometry as POSCAR:
```
TmMgV
1.0
3.251 0.000 0.000
0.000 3.251 0.000
0.000 0.000 26.656
Tm Mg V
4 4 4
Cartesian
0.000 0.000 4.142 Tm
0.000 0.000 22.513 Tm
1.625 1.625 9.185 Tm
1.625 1.625 17.470 Tm
0.000 0.000 11.761 Mg
0.000 0.000 14.895 Mg
1.625 1.625 1.567 Mg
1.625 1.625 25.089 Mg
0.000 0.000 7.167 V
0.000 0.000 19.489 V
1.625 1.625 6.161 V
1.625 1.625 20.495 V
```

---

A plane-wave DFT calculation with PBE-GGA was carried out for a relaxed CaAgN3 crystal.

## Properties
Theoretical density: 3.88 g cm⁻³
Formation energy without anion corrections: 1121 kJ/mol of formula units
Calculated total energy: -18.21 eV/cell

Geometry as POSCAR:
```
CaAgN3
1.0
4.331 0.000 0.000
0.000 4.331 0.000
0.000 0.000 4.331
Ca Ag N
1 1 3
Cartesian
0.000 0.000 0.000 Ca
2.166 2.166 2.166 Ag
0.000 0.000 2.166 N
0.000 2.166 0.000 N
2.166 0.000 0.000 N
```

---

A plane-wave DFT calculation with PBE-GGA was carried out for a relaxed Ti11Ir4Pt9 crystal.

## Properties
Theoretical density: 13.45 g cm⁻³
DFT formation energy: -0.867 eV/atom
Calculated total energy: -197.47 eV/cell

Geometry as POSCAR:
```
Ti11Ir4Pt9
1.0
6.344 -10.274 0.000
6.344 10.274 0.000
0.000 0.000 2.890
Ti Ir Pt
11 4 9
Cartesian
0.000 0.000 0.000 Ti
2.853 3.625 0.000 Ti
6.344 6.707 0.000 Ti
3.477 0.000 0.000 Ti
6.344 2.618 0.000 Ti
2.853 -3.625 0.000 Ti
9.835 3.625 0.000 Ti
6.344 -2.618 0.000 Ti
9.212 0.000 0.000 Ti
6.344 -6.707 0.000 Ti
9.835 -3.625 0.000 Ti
4.286 1.984 1.445 Ir
4.286 -1.984 1.445 Ir
8.402 1.984 1.445 Ir
8.402 -1.984 1.445 Ir
1.496 1.619 1.445 Pt
4.933 4.757 1.445 Pt
1.496 -1.619 1.445 Pt
7.755 4.757 1.445 Pt
6.344 0.000 1.445 Pt
4.933 -4.757 1.445 Pt
11.192 1.619 1.445 Pt
7.755 -4.757 1.445 Pt
11.192 -1.619 1.445 Pt
```

---

A plane-wave DFT calculation with PBE-GGA was carried out for a relaxed NdCd6 crystal.

## Properties
Theoretical density: 6.01 g cm⁻³
DFT formation energy: 0.376 eV/atom
Relative energy among the computed polymorphs: 0.592 eV per atom
Calculated total energy: -15.26 eV/cell

Geometry as POSCAR:
```
NdCd6
1.0
7.675 0.000 0.000
0.000 7.675 0.000
0.000 0.000 7.675
Nd Cd
2 12
Cartesian
0.000 0.000 0.000 Nd
3.837 3.837 3.837 Nd
0.000 1.919 3.837 Cd
0.000 3.837 1.919 Cd
0.000 3.837 5.756 Cd
0.000 5.756 3.837 Cd
1.919 0.000 3.837 Cd
1.919 3.837 0.000 Cd
3.837 0.000 1.919 Cd
3.837 0.000 5.756 Cd
3.837 1.919 0.000 Cd
3.837 5.756 0.000 Cd
5.756 0.000 3.837 Cd
5.756 3.837 0.000 Cd
```

---

A plane-wave DFT calculation with PBE-GGA was carried out for a relaxed U2Si4RuPt3 crystal.

## Properties
Theoretical density: 12.39 g cm⁻³
Formation energy without anion corrections: -738 kJ/mol of formula units
Calculated total energy: -79.31 eV/cell

Geometry as POSCAR:
```
U2Si4RuPt3
1.0
4.149 0.000 0.000
0.000 4.149 0.000
0.000 0.000 9.923
U Si Ru Pt
2 4 1 3
Cartesian
0.000 2.075 2.474 U
2.075 0.000 7.449 U
0.000 0.000 4.962 Si
0.000 2.075 8.602 Si
2.075 0.000 1.322 Si
2.075 2.075 4.962 Si
2.075 2.075 0.000 Ru
0.000 0.000 0.000 Pt
0.000 2.075 6.203 Pt
2.075 0.000 3.721 Pt
```

---

A plane-wave DFT calculation with PBE-GGA was carried out for a relaxed NaSrBiO3 crystal.

## Properties
Theoretical density: 6.09 g cm⁻³
Formation energy without anion corrections: -1053 kJ/mol of formula units
Calculated total energy: -65.33 eV/cell

Geometry as POSCAR:
```
NaSrBiO3
1.0
6.465 0.000 0.000
0.000 3.547 0.000
-0.599 0.000 8.734
Na Sr Bi O
2 2 2 6
Cartesian
1.387 0.887 0.102 Na
4.479 2.661 8.632 Na
2.279 2.661 5.927 Sr
3.586 0.887 2.807 Sr
0.442 2.661 2.817 Bi
5.423 0.887 5.917 Bi
-0.011 2.661 7.149 O
1.488 0.887 4.261 O
2.245 2.661 1.605 O
3.620 0.887 7.129 O
4.377 2.661 4.473 O
5.877 0.887 1.585 O
```

---

A plane-wave DFT calculation with PBE-GGA was carried out for a relaxed ErCu9Au2 crystal.

## Properties
Theoretical density: 10.98 g cm⁻³
DFT formation energy: -0.132 eV/atom
Calculated total energy: -49.56 eV/cell

Geometry as POSCAR:
```
ErCu9Au2
1.0
2.492 1.439 7.961
-2.492 1.439 7.961
0.000 -2.878 7.961
Er Cu Au
1 9 2
Cartesian
0.000 0.000 0.000 Er
-1.260 -0.728 9.987 Cu
0.000 0.000 7.970 Cu
0.000 -1.455 13.896 Cu
-1.260 0.728 13.896 Cu
0.000 0.000 11.941 Cu
1.260 -0.728 9.987 Cu
0.000 1.455 9.987 Cu
0.000 0.000 15.913 Cu
1.260 0.728 13.896 Cu
0.000 0.000 3.376 Au
0.000 0.000 20.507 Au
```

---

A plane-wave DFT calculation with PBE-GGA was carried out for a relaxed Sr3CaRh crystal.

## Properties
Theoretical density: 3.24 g cm⁻³
DFT formation energy: -0.128 eV/atom
Relative energy among the computed polymorphs: 0.072 eV per atom
Calculated total energy: -15.04 eV/cell

Geometry as POSCAR:
```
Sr3CaRh
1.0
5.927 0.000 0.000
0.000 5.927 0.000
0.000 0.000 5.927
Sr Ca Rh
3 1 1
Cartesian
0.000 0.000 2.964 Sr
0.000 2.964 0.000 Sr
2.964 0.000 0.000 Sr
2.964 2.964 2.964 Ca
0.000 0.000 0.000 Rh
```